The following is a PBE+U calculation of an optimized crystal structure of CoHg2O4, from OQMD.

Properties
Energy ... -3.91 eV/atom
Space group ... Fd-3m

```
CoHg2O4
1.0
0.000 4.574 4.574
4.574 0.000 4.574
4.574 4.574 0.000
Co Hg O
2 4 8
Cartesian
1.144 1.144 1.144 Co
8.005 8.005 8.005 Co
4.574 2.287 2.287 Hg
2.287 4.574 2.287 Hg
2.287 2.287 4.574 Hg
4.574 4.574 4.574 Hg
6.964 4.472 4.472 O
2.185 2.185 2.185 O
4.676 4.676 2.185 O
4.676 2.185 4.676 O
4.472 6.964 4.472 O
4.472 4.472 6.964 O
6.964 6.964 6.964 O
2.185 4.676 4.676 O
```